Computed, not measured: crystalline CaAc3Tl at its relaxed geometry at the PBE level of DFT.

abc: 7.4617 7.4617 8.7720
angles: 107.68 107.68 66.00
With the nearest neighbours (Å) after each atom.
Sites, in units of the cell vectors:
Ca 0.0573 0.0573 0.2251  2 Tl 3.51-3.53, 1 Ca 3.68, 4 Ac 3.87-3.88
Ca 0.9427 0.9427 0.7749  2 Tl 3.51-3.53, 1 Ca 3.68, 4 Ac 3.87-3.88
Ac 0.0810 0.5929 0.3539  2 Tl 3.52-3.55, 3 Ac 3.85-3.92, 2 Ca 3.87-3.88
Ac 0.4071 0.9190 0.6461  2 Tl 3.52-3.55, 3 Ac 3.85-3.92, 2 Ca 3.87-3.88
Ac 0.4495 0.4495 0.7708  2 Tl 3.67-3.85, 7 Ac 3.75-3.99, 2 Ca 4.07
Ac 0.5505 0.5505 0.2292  2 Tl 3.67-3.85, 7 Ac 3.75-3.99, 2 Ca 4.07
Ac 0.5929 0.0810 0.3539  2 Tl 3.52-3.55, 3 Ac 3.85-3.92, 2 Ca 3.87-3.88
Ac 0.9190 0.4071 0.6461  2 Tl 3.52-3.55, 3 Ac 3.85-3.92, 2 Ca 3.87-3.88
Tl 0.2402 0.2402 0.0018  2 Ca 3.51-3.53, 6 Ac 3.52-3.85
Tl 0.7598 0.7598 0.9982  2 Ca 3.51-3.53, 6 Ac 3.52-3.85

Values from the calculation:
E_form = -0.29 eV per formula unit
space-group type = C2/m (12)